This record from Alexandria describes a relaxed structure of Ca2As6Pd21. The functional is GGA-PBE.

## Properties
The total moment is 0.00 μB per cell. The formation energy is -13.57 eV/f.u. The space group is Fm-3m (225).

Cell: 8.837 8.837 8.837 Å, 60.00 60.00 60.00°
Fractional positions:
1 Ca 0.250 0.250 0.250
2 Ca 0.750 0.750 0.750
3 As 0.237 0.237 0.763
4 As 0.237 0.763 0.237
5 As 0.237 0.763 0.763
6 As 0.763 0.237 0.237
7 As 0.763 0.237 0.763
8 As 0.763 0.763 0.237
9 Pd 0.116 0.116 0.116
10 Pd 0.116 0.116 0.653
11 Pd 0.116 0.653 0.116
12 Pd 0.153 0.500 0.500
13 Pd 0.153 0.500 0.847
14 Pd 0.153 0.847 0.500
15 Pd 0.347 0.884 0.884
16 Pd 0.500 0.153 0.500
17 Pd 0.500 0.153 0.847
18 Pd 0.500 0.500 0.153
19 Pd 0.500 0.500 0.500
20 Pd 0.500 0.500 0.847
21 Pd 0.500 0.847 0.153
22 Pd 0.500 0.847 0.500
23 Pd 0.653 0.116 0.116
24 Pd 0.847 0.153 0.500
25 Pd 0.847 0.500 0.153
26 Pd 0.847 0.500 0.500
27 Pd 0.884 0.347 0.884
28 Pd 0.884 0.884 0.347
29 Pd 0.884 0.884 0.884